1.
Ba6BiI5: optimized geometry, GGA-PBE.

a = 8.6638 Å, b = 15.0005 Å, c = 8.7351 Å
α = 90.00°, β = 109.21°, γ = 90.00°
Space group C2/m (No. 12)
Unique sites:
Ba: 0.2427 0.1626 0.2408 x8
Ba: 0.2437 0.0000 0.7563 x4
Bi: 0.0000 0.0000 0.0000 x2
I: 0.0000 0.1683 0.5000 x4
I: 0.0000 0.3336 0.0000 x4
I: 0.0000 0.5000 0.5000 x2

uncorrected energy = -77.72 eV for the cell shown
raw formation energy = -1308 meV per atom

=====

2.
Dy3Tm2Th2: optimized geometry, GGA-PBE.

a = 11.2220 Å, b = 5.0138 Å, c = 7.9159 Å
α = 90.00°, β = 98.15°, γ = 90.00°
Space group C2/m (No. 12)
Unique sites:
Dy: 0.0000 0.0000 0.0000 x2
Dy: 0.2141 0.5000 0.1484 x4
Tm: 0.0703 0.5000 0.7092 x4
Th: 0.1425 0.0000 0.4310 x4

uncorrected energy = -74.70 eV for the cell shown
E_form = 0.034 eV/atom

=====

3.
TlIrRh2: optimized geometry, GGA-PBE.

a = 9.1086 Å, b = 2.9093 Å, c = 4.9977 Å
α = 90.00°, β = 100.31°, γ = 90.00°
Space group C2/m (No. 12)
Unique sites:
Tl: 0.0000 0.0000 0.0000 x2
Ir: 0.0000 0.5000 0.5000 x2
Rh: 0.2443 0.0000 0.7245 x4

uncorrected energy = -49.81 eV for the cell shown
E_form = 0.256 eV/atom

=====

4.
Si3NiAs: optimized geometry, GGA-PBE.

a = 4.4114 Å, b = 4.4114 Å, c = 4.4114 Å
α = 90.00°, β = 90.00°, γ = 90.00°
Space group Pm-3m (No. 221)
Unique sites:
Si: 0.0000 0.0000 0.5000 x3
Ni: 0.0000 0.0000 0.0000 x1
As: 0.5000 0.5000 0.5000 x1

uncorrected energy = -24.83 eV for the cell shown
raw formation energy = 374 meV per atom

=====

5.
CsBe3Ni: optimized geometry, GGA-PBE.

a = 4.9944 Å, b = 4.9944 Å, c = 4.9944 Å
α = 90.00°, β = 90.00°, γ = 90.00°
Space group Pm-3m (No. 221)
Unique sites:
Cs: 0.0000 0.0000 0.0000 x1
Be: 0.0000 0.0000 0.5000 x3
Ni: 0.5000 0.5000 0.5000 x1

uncorrected energy = -3.35 eV for the cell shown
E_form = 2.893 eV/atom

=====

6.
Y4Cd3In: optimized geometry, GGA-PBE.

a = 5.3075 Å, b = 5.3075 Å, c = 26.0413 Å
α = 90.00°, β = 90.00°, γ = 120.00°
Space group R-3m (No. 166, hexagonal axes)
Unique sites:
Y: 0.0000 0.0000 0.1247 x6
Y: 0.0000 0.0000 0.3747 x6
Cd: 0.0000 0.0000 0.0000 x3
Cd: 0.0000 0.0000 0.2515 x6
In: 0.0000 0.0000 0.5000 x3

uncorrected energy = -103.64 eV for the cell shown
E_form = -0.401 eV/atom